A plane-wave DFT calculation with GGA+U was carried out for an optimized crystal structure of LiFePO4.

Cell: 5.463 7.579 8.074 Å, 89.99 90.00 90.00°
Positions (direct):
Fe (0.979, 0.304, 0.429)
Fe (0.479, 0.197, 0.929)
Fe (0.479, 0.696, 0.571)
Fe (0.979, 0.803, 0.071)
Li (0.860, 0.009, 0.730)
Li (0.360, 0.491, 0.230)
Li (0.860, 0.509, 0.770)
Li (0.360, 0.991, 0.270)
O (0.617, 0.945, 0.942)
O (0.334, 0.212, 0.692)
O (0.117, 0.055, 0.058)
O (0.834, 0.788, 0.308)
O (0.231, 0.867, 0.466)
O (0.849, 0.760, 0.619)
O (0.231, 0.367, 0.034)
O (0.349, 0.240, 0.381)
O (0.117, 0.555, 0.442)
O (0.348, 0.740, 0.119)
O (0.617, 0.445, 0.558)
O (0.731, 0.633, 0.966)
O (0.334, 0.712, 0.808)
O (0.834, 0.288, 0.192)
O (0.849, 0.260, 0.881)
O (0.731, 0.133, 0.534)
P (0.000, 0.245, 0.045)
P (0.000, 0.745, 0.456)
P (0.500, 0.755, 0.955)
P (0.500, 0.255, 0.544)

raw total energy: -0.2477 hartree per atom
N(E_F): 0.00 states/eV/atom